No. 1
Here is a relaxed NaMoPS2 crystal from the Alexandria database. Energies are from PBE.

Results
V, A^3/atom: 21.50
Total moment, μB/atom: 0.0000
Offset from the most stable computed form, eV/atom: 0.000
Space group: P4/mmm
D(E_F), states/eV per atom: 0.7697
Crystal system: tetragonal
DFT total energy, eV/atom: -5.362

Lattice parameters (Å, degrees): 4.778 4.778 4.708 90.00 90.00 90.00
Sites, in units of the cell vectors:
Na 0.000 0.000 0.000
Mo 0.500 0.500 0.500
P 0.500 0.500 0.000
S 0.000 0.500 0.500
S 0.500 0.000 0.500

=====

No. 2
Here is a relaxed La2HfHg2 crystal from the Alexandria database. Energies are from PBE.

Results
V, A^3/atom: 28.91
Total moment, μB/atom: 0.2256
Offset from the most stable computed form, eV/atom: 0.000
Space group: P4/mbm
D(E_F), states/eV per atom: 1.5039
Crystal system: tetragonal
DFT total energy, eV/atom: -4.163

Lattice parameters (Å, degrees): 8.644 8.644 3.868 90.00 90.00 90.00
Sites, in units of the cell vectors:
La 0.174 0.326 0.000
La 0.326 0.826 0.000
La 0.674 0.174 0.000
La 0.826 0.674 0.000
Hf 0.000 0.000 0.500
Hf 0.500 0.500 0.500
Hg 0.127 0.627 0.500
Hg 0.373 0.127 0.500
Hg 0.627 0.873 0.500
Hg 0.873 0.373 0.500

=====

Look up the V of the second one. 28.91 A^3/atom